No. 1
First-principles (PBEsol) data for crystalline TlZn3W at its relaxed geometry, as listed in Alexandria.

The structure in CIF format:
```
data_TlZn3W
_symmetry_space_group_name_H-M 'P m -3 m'
_symmetry_Int_Tables_number 221
_symmetry_space_group_name_Hall '-P 4 2 3'
_cell_length_a 4.918
_cell_length_b 4.918
_cell_length_c 4.918
_cell_angle_alpha 90.00
_cell_angle_beta 90.00
_cell_angle_gamma 90.00
loop_
_atom_site_label
_atom_site_fract_x
_atom_site_fract_y
_atom_site_fract_z
Tl1 0.000 0.000 0.000
Zn1 0.000 0.000 0.500
W1 0.500 0.500 0.500
```

Computed properties:
Volume   118.96 Å³/cell
E_tot   -12.0 eV per cell

No. 2
First-principles (PBEsol) data for crystalline TlZnW2 at its relaxed geometry, as listed in Alexandria.

The structure in CIF format:
```
data_TlZnW2
_symmetry_space_group_name_H-M 'P 1 m 1'
_symmetry_Int_Tables_number 6
_cell_length_a 2.825
_cell_length_b 4.285
_cell_length_c 5.753
_cell_angle_alpha 90.00
_cell_angle_beta 102.19
_cell_angle_gamma 90.00
loop_
_symmetry_equiv_pos_as_xyz
'x,y,z'
'x,-y,z'
loop_
_atom_site_label
_atom_site_fract_x
_atom_site_fract_y
_atom_site_fract_z
Tl1 0.000 0.000 0.000
Zn1 0.078 0.500 0.728
W1 0.424 0.000 0.509
W2 0.612 0.500 0.285
```

Computed properties:
Volume   68.06 Å³/cell
Energy above the lowest structure with this stoichiometry   0.40 eV per formula unit

No. 3
First-principles (PBEsol) data for crystalline Tl2ZnW at its relaxed geometry, as listed in Alexandria.

The structure in CIF format:
```
data_Tl2ZnW
_symmetry_space_group_name_H-M 'F -4 3 m'
_symmetry_Int_Tables_number 216
_symmetry_space_group_name_Hall 'F -4 2 3'
_cell_length_a 6.871
_cell_length_b 6.871
_cell_length_c 6.871
_cell_angle_alpha 90.00
_cell_angle_beta 90.00
_cell_angle_gamma 90.00
loop_
_atom_site_label
_atom_site_fract_x
_atom_site_fract_y
_atom_site_fract_z
Tl1 0.000 0.000 0.000
Tl2 0.250 0.250 0.250
Zn1 0.000 0.000 0.500
W1 0.250 0.250 0.750
```

Computed properties:
Volume   324.43 Å³/cell
Energy above the lowest structure with this stoichiometry   1.59 eV per formula unit

No. 4
First-principles (PBEsol) data for crystalline TlZn2W at its relaxed geometry, as listed in Alexandria.

The structure in CIF format:
```
data_TlZn2W
_symmetry_space_group_name_H-M 'P 1 2/m 1'
_symmetry_Int_Tables_number 10
_cell_length_a 5.003
_cell_length_b 2.874
_cell_length_c 5.006
_cell_angle_alpha 90.00
_cell_angle_beta 112.75
_cell_angle_gamma 90.00
loop_
_symmetry_equiv_pos_as_xyz
'x,y,z'
'-x,-y,-z'
'-x,y,-z'
'x,-y,z'
loop_
_atom_site_label
_atom_site_fract_x
_atom_site_fract_y
_atom_site_fract_z
Tl1 0.000 0.000 0.000
Zn1 0.500 0.000 0.500
Zn2 0.500 0.500 0.000
W1 0.000 0.500 0.500
```

Computed properties:
Volume   66.37 Å³/cell
Energy above the lowest structure with this stoichiometry   0.00 eV per formula unit

No. 5
First-principles (PBEsol) data for crystalline Tl2ZnW at its relaxed geometry, as listed in Alexandria.

The structure in CIF format:
```
data_Tl2ZnW
_symmetry_space_group_name_H-M 'P m m m'
_symmetry_Int_Tables_number 47
_cell_length_a 2.923
_cell_length_b 5.034
_cell_length_c 5.341
_cell_angle_alpha 90.00
_cell_angle_beta 90.00
_cell_angle_gamma 90.00
loop_
_symmetry_equiv_pos_as_xyz
'x,y,z'
'-x,-y,-z'
'-x,-y,z'
'x,y,-z'
'x,-y,-z'
'-x,y,z'
'-x,y,-z'
'x,-y,z'
loop_
_atom_site_label
_atom_site_fract_x
_atom_site_fract_y
_atom_site_fract_z
Tl1 0.000 0.000 0.000
Tl2 0.500 0.000 0.500
Zn1 0.000 0.500 0.500
W1 0.500 0.500 0.000
```

Computed properties:
Volume   78.59 Å³/cell
Energy above the lowest structure with this stoichiometry   0.09 eV per formula unit

No. 6
First-principles (PBEsol) data for crystalline ZrTl2W at its relaxed geometry, as listed in Alexandria.

The structure in CIF format:
```
data_ZrTl2W
_symmetry_space_group_name_H-M 'I m m m'
_symmetry_Int_Tables_number 71
_symmetry_space_group_name_Hall '-I 2 2'
_cell_length_a 3.695
_cell_length_b 4.731
_cell_length_c 9.257
_cell_angle_alpha 90.00
_cell_angle_beta 90.00
_cell_angle_gamma 90.00
loop_
_atom_site_label
_atom_site_fract_x
_atom_site_fract_y
_atom_site_fract_z
Zr1 0.000 0.000 0.000
Tl1 0.000 0.500 0.243
W1 0.000 0.000 0.500
```

Computed properties:
Volume   161.81 Å³/cell
Energy above the lowest structure with this stoichiometry   0.00 eV per formula unit

No. 7
First-principles (PBEsol) data for crystalline ZrTlW2 at its relaxed geometry, as listed in Alexandria.

The structure in CIF format:
```
data_ZrTlW2
_symmetry_space_group_name_H-M 'I -4 m 2'
_symmetry_Int_Tables_number 119
_symmetry_space_group_name_Hall 'I -4 -2'
_cell_length_a 4.370
_cell_length_b 4.370
_cell_length_c 7.581
_cell_angle_alpha 90.00
_cell_angle_beta 90.00
_cell_angle_gamma 90.00
loop_
_atom_site_label
_atom_site_fract_x
_atom_site_fract_y
_atom_site_fract_z
Zr1 0.000 0.000 0.000
Tl1 0.000 0.500 0.250
W1 0.000 0.000 0.500
W2 0.000 0.500 0.750
```

Computed properties:
Volume   144.80 Å³/cell
Energy above the lowest structure with this stoichiometry   0.00 eV per formula unit

No. 8
First-principles (PBEsol) data for crystalline ZrTlW2 at its relaxed geometry, as listed in Alexandria.

The structure in CIF format:
```
data_ZrTlW2
_symmetry_space_group_name_H-M 'C 1 m 1'
_symmetry_Int_Tables_number 8
_cell_length_a 9.773
_cell_length_b 2.854
_cell_length_c 5.300
_cell_angle_alpha 90.00
_cell_angle_beta 96.93
_cell_angle_gamma 90.00
loop_
_symmetry_equiv_pos_as_xyz
'x,y,z'
'x,-y,z'
'x+1/2,y+1/2,z'
'x+1/2,-y+1/2,z'
loop_
_atom_site_label
_atom_site_fract_x
_atom_site_fract_y
_atom_site_fract_z
Zr1 0.000 0.000 0.000
Tl1 0.248 0.000 0.750
W1 0.002 0.500 0.482
W2 0.253 0.500 0.263
```

Computed properties:
Volume   146.72 Å³/cell
Energy above the lowest structure with this stoichiometry   0.52 eV per formula unit

For each record above, in turn, the calculated size of the total moment values are 0.845; 0.000; 0.479; 0.000; 0.000; 0.000; 0.000; 0.000 μB per atom.